1.
Computed, not measured: LiAg2F6 after structural relaxation at the PBEsol level of DFT.

a = 4.803 Å, b = 4.803 Å, c = 10.051 Å
α = 90.00°, β = 90.00°, γ = 90.00°
Atoms (fractional coordinates):
Li1 0.500 0.000 0.750
Li2 0.000 0.500 0.250
Ag1 0.500 0.000 0.415
Ag2 0.500 0.000 0.085
Ag3 0.000 0.500 0.585
Ag4 0.000 0.500 0.915
F1 0.698 0.802 0.921
F2 0.698 0.802 0.579
F3 0.703 0.797 0.250
F4 0.797 0.297 0.750
F5 0.802 0.302 0.421
F6 0.802 0.302 0.079
F7 0.198 0.698 0.079
F8 0.198 0.698 0.421
F9 0.203 0.703 0.750
F10 0.297 0.203 0.250
F11 0.302 0.198 0.579
F12 0.302 0.198 0.921

Calculated values
The density of states at the Fermi level is 9.75 states/eV/cell. The calculation puts the energy relative to the elements, uncorrected at -1.481 eV/atom. The density comes out at 4.822 g cm⁻³. The total magnetization comes out at 0.00 μB/f.u.

2.
Computed, not measured: LiAgF3 after structural relaxation at the PBEsol level of DFT.

a = 5.403 Å, b = 5.562 Å, c = 8.092 Å
α = 90.00°, β = 93.80°, γ = 90.00°
Site moments in Bohr magnetons follow the coordinates.
Atoms (fractional coordinates):
Li1 0.020 0.028 0.784  0.00
Li2 0.480 0.528 0.716  0.00
Li3 0.520 0.472 0.284  0.00
Li4 0.980 0.972 0.216  0.00
Ag1 0.000 0.500 0.000  -0.31
Ag2 0.000 0.500 0.500  0.32
Ag3 0.500 0.000 0.000  0.32
Ag4 0.500 0.000 0.500  -0.31
F1 0.160 0.166 0.026  0.00
F2 0.208 0.148 0.361  -0.07
F3 0.186 0.318 0.700  0.07
F4 0.292 0.648 0.139  -0.07
F5 0.340 0.666 0.474  0.00
F6 0.314 0.818 0.800  0.07
F7 0.686 0.182 0.200  0.07
F8 0.660 0.334 0.526  0.00
F9 0.708 0.352 0.861  -0.07
F10 0.814 0.682 0.300  0.07
F11 0.792 0.852 0.639  -0.07
F12 0.840 0.834 0.974  0.00

Calculated values
The density of states at the Fermi level is 0.85 states/eV/cell. The calculation puts the energy relative to the elements, uncorrected at -1.823 eV/atom. The density comes out at 4.703 g cm⁻³. The total magnetization comes out at 0.00 μB/f.u.

3.
Computed, not measured: LiAgF3 after structural relaxation at the PBEsol level of DFT.

a = 5.932 Å, b = 6.637 Å, c = 6.637 Å
α = 92.10°, β = 92.86°, γ = 87.14°
Site moments in Bohr magnetons follow the coordinates.
Atoms (fractional coordinates):
Li1 0.190 0.094 0.732  0.00
Li2 0.690 0.268 0.906  0.00
Li3 0.310 0.732 0.094  0.00
Li4 0.810 0.906 0.268  0.00
Ag1 0.250 0.215 0.215  0.35
Ag2 0.750 0.410 0.410  -0.29
Ag3 0.250 0.590 0.590  -0.29
Ag4 0.750 0.785 0.785  0.35
F1 0.890 0.070 0.802  0.07
F2 0.643 0.126 0.377  -0.08
F3 0.390 0.198 0.930  0.07
F4 0.163 0.292 0.524  0.00
F5 0.857 0.377 0.126  -0.08
F6 0.663 0.476 0.708  0.00
F7 0.337 0.524 0.292  0.00
F8 0.143 0.623 0.874  -0.08
F9 0.837 0.708 0.476  0.00
F10 0.610 0.802 0.070  0.07
F11 0.357 0.874 0.623  -0.08
F12 0.110 0.930 0.198  0.07

Calculated values
The calculation puts the energy relative to the elements, uncorrected at -1.808 eV/atom. The density comes out at 4.381 g cm⁻³. The total magnetization comes out at 0.02 μB/f.u.

4.
Computed, not measured: LiAgF6 after structural relaxation at the PBEsol level of DFT.

a = 7.846 Å, b = 7.846 Å, c = 7.846 Å
α = 109.47°, β = 109.47°, γ = 109.47°
Atoms (fractional coordinates):
Li1 0.500 0.500 0.000
Li2 0.000 0.000 0.000
Li3 0.000 0.500 0.500
Li4 0.500 0.000 0.500
Ag1 0.500 0.500 0.500
Ag2 0.000 0.000 0.500
Ag3 0.500 0.000 0.000
Ag4 0.000 0.500 0.000
F1 0.055 0.092 0.780
F2 0.463 0.555 0.275
F3 0.725 0.780 0.688
F4 0.092 0.280 0.555
F5 0.225 0.537 0.945
F6 0.720 0.945 0.408
F7 0.555 0.775 0.963
F8 0.037 0.312 0.092
F9 0.312 0.592 0.537
F10 0.812 0.275 0.720
F11 0.408 0.963 0.188
F12 0.220 0.812 0.775
F13 0.780 0.188 0.225
F14 0.592 0.037 0.812
F15 0.188 0.725 0.280
F16 0.688 0.408 0.463
F17 0.963 0.688 0.908
F18 0.445 0.225 0.037
F19 0.280 0.055 0.592
F20 0.775 0.463 0.055
F21 0.908 0.720 0.445
F22 0.275 0.220 0.312
F23 0.537 0.445 0.725
F24 0.945 0.908 0.220

Calculated values
The calculation puts the energy relative to the elements, uncorrected at -1.251 eV/atom. The density comes out at 4.087 g cm⁻³. The total magnetization comes out at 0.00 μB/f.u.

5.
Computed, not measured: LiAgF3 after structural relaxation at the PBEsol level of DFT.

a = 5.333 Å, b = 5.333 Å, c = 5.851 Å
α = 62.89°, β = 62.89°, γ = 60.00°
Atoms (fractional coordinates):
Li1 0.802 0.802 0.595
Li2 0.302 0.302 0.095
Ag1 0.511 0.511 0.466
Ag2 0.011 0.011 0.966
F1 0.932 0.596 0.243
F2 0.432 0.728 0.743
F3 0.728 0.096 0.743
F4 0.596 0.228 0.243
F5 0.228 0.932 0.243
F6 0.096 0.432 0.743

Calculated values
The density of states at the Fermi level is 5.12 states/eV/cell. The calculation puts the energy relative to the elements, uncorrected at -1.807 eV/atom. The density comes out at 4.657 g cm⁻³. The total magnetization comes out at 0.00 μB/f.u.

6.
Computed, not measured: LiAgF3 after structural relaxation at the PBEsol level of DFT.

a = 3.094 Å, b = 6.394 Å, c = 6.394 Å
α = 106.44°, β = 90.00°, γ = 90.00°
Site moments in Bohr magnetons follow the coordinates.
Atoms (fractional coordinates):
Li1 0.000 0.000 0.500  0.00
Li2 0.000 0.500 0.000  0.00
Ag1 0.500 0.500 0.500  0.46
Ag2 0.500 0.000 0.000  0.40
F1 0.000 0.647 0.353  0.16
F2 0.500 0.053 0.326  0.09
F3 0.500 0.674 0.947  0.09
F4 0.500 0.326 0.053  0.09
F5 0.500 0.947 0.674  0.09
F6 0.000 0.353 0.647  0.16

Calculated values
The density of states at the Fermi level is 3.76 states/eV/cell. The calculation puts the energy relative to the elements, uncorrected at -1.813 eV/atom. The density comes out at 4.702 g cm⁻³. The total magnetization comes out at 0.79 μB/f.u.

7.
Computed, not measured: LiAg2F6 after structural relaxation at the PBEsol level of DFT.

a = 4.724 Å, b = 9.053 Å, c = 9.053 Å
α = 120.00°, β = 90.00°, γ = 90.00°
Atoms (fractional coordinates):
Li1 0.512 0.333 0.667
Li2 0.000 0.000 0.000
Li3 0.488 0.667 0.333
Ag1 0.500 0.697 0.697
Ag2 0.000 0.363 0.363
Ag3 0.000 0.000 0.637
Ag4 0.500 0.000 0.303
Ag5 0.000 0.637 0.000
Ag6 0.500 0.303 0.000
F1 0.238 0.783 0.901
F2 0.741 0.546 0.801
F3 0.268 0.408 0.888
F4 0.268 0.480 0.592
F5 0.238 0.099 0.882
F6 0.741 0.199 0.746
F7 0.741 0.254 0.454
F8 0.762 0.901 0.783
F9 0.268 0.112 0.520
F10 0.259 0.801 0.546
F11 0.238 0.118 0.217
F12 0.732 0.888 0.408
F13 0.732 0.592 0.480
F14 0.762 0.882 0.099
F15 0.259 0.746 0.199
F16 0.259 0.454 0.254
F17 0.732 0.520 0.112
F18 0.762 0.217 0.118

Calculated values
The density of states at the Fermi level is 11.04 states/eV/cell. The calculation puts the energy relative to the elements, uncorrected at -1.503 eV/atom. The density comes out at 5.002 g cm⁻³. The total magnetization comes out at 0.00 μB/f.u.

8.
Computed, not measured: Li2Ag3F6 after structural relaxation at the PBEsol level of DFT.

a = 3.786 Å, b = 3.786 Å, c = 9.388 Å
α = 81.52°, β = 81.52°, γ = 88.61°
Site moments in Bohr magnetons follow the coordinates.
Atoms (fractional coordinates):
Li1 0.349 0.349 0.203  0.00
Li2 0.651 0.651 0.797  0.00
Ag1 0.000 0.000 0.000  0.34
Ag2 0.243 0.243 0.643  0.10
Ag3 0.757 0.757 0.357  0.10
F1 0.633 0.136 0.842  0.07
F2 0.280 0.280 0.402  0.03
F3 0.864 0.367 0.158  0.07
F4 0.136 0.633 0.842  0.07
F5 0.720 0.720 0.598  0.03
F6 0.367 0.864 0.158  0.07

Calculated values
The density of states at the Fermi level is 6.34 states/eV/cell. The calculation puts the energy relative to the elements, uncorrected at -1.649 eV/atom. The density comes out at 5.696 g cm⁻³. The total magnetization comes out at 0.88 μB/f.u.